Record 1
HfScBi2O6: relaxed, PBE-GGA.

The calculation puts the final energy at -0.2823 hartree per atom. Its formation energy without anion corrections is -2.303 eV per atom.

The structure belongs to space group P2_1/c (No. 14); the cell edges are 5.943, 5.740 and 9.996 Å and the angles 90.00°, 126.32° and 90.00°. The asymmetric unit holds Hf at (0.000, 0.000, 0.000), Sc at (0.500, 0.000, 0.500), Bi at (0.232, 0.031, 0.751), O at (0.166, 0.240, 0.431), O at (0.192, 0.737, 0.434) and O at (0.350, 0.029, 0.247).



Record 2
SrHfBiO2: relaxed, PBE-GGA.

The calculation puts the final energy at -0.2489 hartree per atom. Its formation energy without anion corrections is -1.686 eV per atom.

The structure belongs to space group P4/mmm (No. 123); the cell edges are 4.285, 4.285 and 5.959 Å and the angles 90.00°, 90.00° and 90.00°. The asymmetric unit holds Sr at (0.000, 0.000, 0.000), Hf at (0.500, 0.500, 0.500), Bi at (0.500, 0.500, 0.000) and O at (0.000, 0.500, 0.500).



Record 3
SrHfBi2O6: relaxed, PBE-GGA.

The calculation puts the final energy at -0.2628 hartree per atom. Its formation energy without anion corrections is -2.237 eV per atom.

The structure belongs to space group R3 (No. 146, hexagonal axes); the cell edges are 6.0102, 6.0102 and 15.3680 Å and the angles 90.00°, 90.00° and 120.00°. The asymmetric unit holds Sr at (0.0000, 0.0000, 0.0000), Hf at (0.0000, 0.0000, 0.5119), Bi at (0.0000, 0.0000, 0.2200), Bi at (0.0000, 0.0000, 0.7206), O at (0.0575, 0.3347, 0.1197) and O at (0.0760, 0.6751, 0.2783).



Record 4
SrHfBiO6: relaxed, PBE-GGA.

The calculation puts the final energy at -0.2599 hartree per atom. Its formation energy without anion corrections is -2.042 eV per atom.

The structure belongs to space group P-31c (No. 163); the cell edges are 5.6610, 5.6610 and 10.5439 Å and the angles 90.00°, 90.00° and 120.00°. The asymmetric unit holds Sr at (0.0000, 0.0000, 0.0000), Hf at (0.3333, 0.6667, 0.2500), Bi at (0.3333, 0.6667, 0.7500) and O at (0.0060, 0.3736, 0.1417).



Record 5
HfTiBiO6: relaxed, PBE-GGA.

The calculation puts the final energy at -0.3004 hartree per atom. Its formation energy without anion corrections is -2.455 eV per atom.

The structure belongs to space group P4_2nm (No. 102); the cell edges are 4.885, 4.885 and 9.792 Å and the angles 90.00°, 90.00° and 90.00°. The asymmetric unit holds Hf at (0.000, 0.000, 0.000), Ti at (0.000, 0.000, 0.661), Bi at (0.000, 0.000, 0.331), O at (0.177, 0.177, 0.826), O at (0.197, 0.197, 0.518) and O at (0.210, 0.210, 0.153).



Record 6
HfTi7Bi2O2: relaxed, PBE-GGA.

The calculation puts the final energy at -0.2862 hartree per atom. Its formation energy without anion corrections is -0.880 eV per atom.

The structure belongs to space group I4/mmm (No. 139); the cell edges are 4.216, 4.216 and 23.064 Å and the angles 90.00°, 90.00° and 90.00°. The asymmetric unit holds Hf at (0.000, 0.000, 0.000), Ti at (0.000, 0.000, 0.317), Ti at (0.000, 0.000, 0.500), Ti at (0.000, 0.500, 0.092), Bi at (0.000, 0.000, 0.189) and O at (0.000, 0.000, 0.407).



> Which formula does entry 1 have?

HfScBi2O6



> Look up the final energy of the first one.

-0.2823 hartree per atom



> The highest formation energy without anion corrections belongs to which entry?

HfTi7Bi2O2